KPdCl: relaxed, PBE.

Structure (POSCAR):
```
KPdCl
1.0
3.928 0.000 0.000
1.958 4.627 0.000
0.067 0.048 9.368
K Pd Cl
2 2 2
Direct
0.000 0.000 0.000
0.254 0.504 0.588
0.326 0.339 0.255
0.639 0.712 0.265
0.553 0.903 0.752
0.981 0.028 0.339
```

Summary:
* distance to the lowest polymorph of the same formula: 31 meV per atom